A plane-wave DFT calculation with GGA-PBE was carried out for a relaxed AsWSe2Br crystal.

Unit cell a=5.1331 b=5.1331 c=4.9317 alpha=90.00 beta=90.00 gamma=90.00
Closest atoms and distances in Å follow each position.
Space group P4/mmm (No. 123)
Inequivalent atoms, fractional coordinates:
1 As 0.0000 0.0000 0.0000 (multiplicity 1)  2 Br 2.47, 4 Se 2.57
2 W 0.5000 0.5000 0.5000 (multiplicity 1)  8 Se 3.56, 4 Br 3.63
3 Se 0.0000 0.5000 0.0000 (multiplicity 2)  2 As 2.57
4 Br 0.0000 0.0000 0.5000 (multiplicity 1)  2 As 2.47

Results
Its density of states at the Fermi level is 3.0 states/eV/f.u. The relative energy among the computed polymorphs comes out at 1026.8 meV/atom. The calculation puts the formation energy from raw total energies at 1289 meV per atom.